No. 1
The following is a DFT calculation (PBE) of a relaxed structure of KAs3H.

ΔE to the lowest computed polymorph: 1.601 eV/atom
E: -1.71 eV/atom

Cell and atoms, written as POSCAR:
```
KAs3H
1.0
5.725 0.000 0.000
0.000 5.725 0.000
0.000 0.000 5.725
K As H
1 3 1
Cartesian
0.000 0.000 0.000
0.000 0.000 2.862
0.000 2.862 0.000
2.862 0.000 0.000
2.862 2.862 2.862
```

No. 2
The following is a DFT calculation (PBE) of a relaxed structure of BRhNO2.

E: -5.20 eV/atom

Cell and atoms, written as POSCAR:
```
BRhNO2
1.0
3.983 0.000 0.000
0.000 3.983 0.000
0.000 0.000 3.682
B Rh N O
1 1 1 2
Cartesian
0.000 0.000 0.000
1.991 1.991 1.841
1.991 1.991 0.000
0.000 1.991 1.841
1.991 0.000 1.841
```

No. 3
The following is a DFT calculation (PBE) of a relaxed structure of Sr3Pr3ScS8.

E: -5.96 eV/atom

Cell and atoms, written as POSCAR:
```
Sr3Pr3ScS8
1.0
4.091 2.362 6.928
-4.091 2.362 6.928
0.000 -4.724 6.928
Sr Pr Sc S
3 3 1 8
Cartesian
-2.045 -1.181 6.928
-2.045 1.181 13.856
0.000 2.362 6.928
-4.091 0.000 10.392
-2.045 1.181 3.464
2.045 1.181 3.464
0.000 0.000 10.392
0.000 0.000 5.152
-1.897 -1.095 11.924
0.000 -2.190 8.860
-1.897 1.095 8.860
1.897 -1.095 11.924
0.000 2.190 11.924
1.897 1.095 8.860
0.000 0.000 15.632
```

No. 4
The following is a DFT calculation (PBE) of a relaxed structure of BaSr2Mg.

Formation enthalpy at 0 K: 0.072 eV/atom
E: -1.65 eV/atom

Cell and atoms, written as POSCAR:
```
BaSr2Mg
1.0
-2.868 2.868 5.753
2.868 -2.868 5.753
2.868 2.868 -5.753
Ba Sr Mg
1 2 1
Cartesian
0.000 0.000 0.000
2.868 0.000 2.876
0.000 2.868 2.876
0.000 0.000 5.753
```

No. 5
The following is a DFT calculation (PBE) of a relaxed structure of PPt2Br2.

ΔE to the lowest computed polymorph: 0.000 eV/atom
E: -3.30 eV/atom

Cell and atoms, written as POSCAR:
```
PPt2Br2
1.0
-1.847 1.847 7.785
1.847 -1.847 7.785
1.847 1.847 -7.785
P Pt Br
1 2 2
Cartesian
0.000 0.000 0.000
1.847 0.000 3.892
0.000 1.847 3.892
0.000 0.000 6.105
0.000 0.000 9.465
```

No. 6
The following is a DFT calculation (PBE) of a relaxed structure of CaCo2Cl.

ΔE to the lowest computed polymorph: 0.002 eV/atom
E: -4.78 eV/atom

Cell and atoms, written as POSCAR:
```
CaCo2Cl
1.0
3.285 0.000 0.000
0.000 3.285 0.000
0.000 0.000 7.851
Ca Co Cl
1 2 1
Cartesian
0.000 0.000 0.000
0.000 0.000 5.094
1.643 1.643 5.585
1.643 1.643 1.487
```

No. 7
The following is a DFT calculation (PBE) of a relaxed structure of RbAcTc2O8.

E: -7.37 eV/atom

Cell and atoms, written as POSCAR:
```
RbAcTc2O8
1.0
6.203 0.000 0.000
-3.102 5.372 0.000
0.000 0.000 8.250
Rb Ac Tc O
1 1 2 8
Cartesian
0.000 0.000 0.000
0.000 0.000 4.125
0.000 3.581 6.353
3.102 1.791 1.898
0.000 1.891 5.726
-1.464 4.427 5.726
0.000 3.581 8.098
1.638 0.946 2.524
1.464 4.427 5.726
3.102 1.791 0.152
4.565 0.946 2.524
3.102 3.481 2.524
```

No. 8
The following is a DFT calculation (PBE) of a relaxed structure of Zr2AgCl.

ΔE to the lowest computed polymorph: 0.423 eV/atom
E: -5.52 eV/atom

Cell and atoms, written as POSCAR:
```
Zr2AgCl
1.0
0.000 3.412 3.412
3.412 0.000 3.412
3.412 3.412 0.000
Zr Ag Cl
2 1 1
Cartesian
1.706 1.706 1.706
5.118 5.118 5.118
0.000 0.000 0.000
3.412 3.412 3.412
```

No. 9
The following is a DFT calculation (PBE) of a relaxed structure of Y3Tm5.

Formation enthalpy at 0 K: -0.001 eV/atom
E: -5.22 eV/atom

Cell and atoms, written as POSCAR:
```
Y3Tm5
1.0
3.596 0.000 0.000
0.000 5.572 0.000
0.000 0.000 12.456
Y Tm
3 5
Cartesian
0.000 0.000 0.000
0.000 2.786 2.122
1.798 0.000 3.187
0.000 0.000 6.295
0.000 2.786 8.350
1.798 0.000 9.353
1.798 2.786 5.277
1.798 2.786 11.416
```

No. 10
The following is a DFT calculation (PBE) of a relaxed structure of Ti2CuIr.

Formation enthalpy at 0 K: -0.470 eV/atom
E: -7.66 eV/atom

Cell and atoms, written as POSCAR:
```
Ti2CuIr
1.0
3.016 0.000 0.000
0.000 3.016 0.000
0.000 0.000 6.502
Ti Cu Ir
2 1 1
Cartesian
0.000 0.000 1.593
0.000 0.000 4.910
1.508 1.508 0.000
1.508 1.508 3.251
```

No. 11
The following is a DFT calculation (PBE) of a relaxed structure of BaGdAgAu.

Formation enthalpy at 0 K: -0.366 eV/atom
E: -5.90 eV/atom

Cell and atoms, written as POSCAR:
```
BaGdAgAu
1.0
0.000 3.858 3.858
3.858 0.000 3.858
3.858 3.858 0.000
Ba Gd Ag Au
1 1 1 1
Cartesian
0.000 0.000 0.000
3.858 3.858 3.858
5.787 5.787 5.787
1.929 1.929 1.929
```

No. 12
The following is a DFT calculation (PBE) of a relaxed structure of Ca2PtSe2.

ΔE to the lowest computed polymorph: 0.074 eV/atom
E: -4.20 eV/atom

Cell and atoms, written as POSCAR:
```
Ca2PtSe2
1.0
-1.968 1.968 7.919
1.968 -1.968 7.919
1.968 1.968 -7.919
Ca Pt Se
2 1 2
Cartesian
0.000 0.000 1.654
0.000 0.000 14.185
0.000 0.000 7.919
1.968 0.000 3.960
0.000 1.968 3.960
```

No. 13
The following is a DFT calculation (PBE) of a relaxed structure of Li8In6Ge.

Formation enthalpy at 0 K: -0.193 eV/atom
E: -2.62 eV/atom

Cell and atoms, written as POSCAR:
```
Li8In6Ge
1.0
3.950 2.281 5.809
-3.950 2.281 5.809
0.000 -4.561 5.809
Li In Ge
8 6 1
Cartesian
0.000 0.000 1.518
-0.630 -1.738 6.598
-1.190 1.415 6.598
-1.820 -0.323 10.830
1.820 0.323 6.598
1.190 -1.415 10.830
0.630 1.738 10.830
0.000 0.000 15.910
-2.901 -0.585 7.863
-0.944 -2.805 9.565
-1.957 2.220 9.565
1.957 -2.220 7.863
0.944 2.805 7.863
2.901 0.585 9.565
0.000 0.000 8.714
```

No. 14
The following is a DFT calculation (PBE) of a relaxed structure of BaLiIr2.

Formation enthalpy at 0 K: 0.523 eV/atom
ΔE to the lowest computed polymorph: 0.703 eV/atom
E: -4.87 eV/atom

Cell and atoms, written as POSCAR:
```
BaLiIr2
1.0
2.667 -4.770 0.000
2.667 4.770 0.000
0.000 0.000 3.169
Ba Li Ir
1 1 2
Cartesian
0.000 0.000 0.000
2.667 0.000 0.000
1.333 2.385 1.585
1.333 -2.385 1.585
```

No. 15
The following is a DFT calculation (PBE) of a relaxed structure of ScCo2Hg2.

Formation enthalpy at 0 K: 0.092 eV/atom
ΔE to the lowest computed polymorph: 0.000 eV/atom
E: -4.14 eV/atom

Cell and atoms, written as POSCAR:
```
ScCo2Hg2
1.0
6.652 0.000 0.000
0.000 6.652 0.000
0.000 0.000 3.854
Sc Co Hg
2 4 4
Cartesian
0.000 0.000 0.000
3.326 3.326 0.000
0.814 2.513 0.000
2.513 5.839 0.000
4.140 0.814 0.000
5.839 4.140 0.000
1.158 4.484 1.927
2.168 1.158 1.927
4.484 5.495 1.927
5.495 2.168 1.927
```

No. 16
The following is a DFT calculation (PBE) of a relaxed structure of NaBeAgF5.

E: -4.49 eV/atom

Cell and atoms, written as POSCAR:
```
NaBeAgF5
1.0
3.353 -4.541 0.000
3.353 4.541 0.000
-1.501 0.000 6.958
Na Be Ag F
2 2 2 10
Cartesian
2.228 3.476 5.218
2.978 -3.476 1.739
2.978 2.672 1.739
2.228 -2.672 5.218
3.353 0.000 0.000
2.603 0.000 3.479
-0.598 0.991 6.363
1.858 1.653 2.303
0.153 -0.991 2.884
2.228 1.131 5.218
4.099 1.653 1.176
1.107 -1.653 5.782
2.978 -1.131 1.739
5.053 0.991 4.074
3.348 -1.653 4.655
5.804 -0.991 0.595
```

No. 17
The following is a DFT calculation (PBE) of a relaxed structure of NiMoIr2.

Formation enthalpy at 0 K: 0.044 eV/atom
ΔE to the lowest computed polymorph: 0.308 eV/atom
E: -8.54 eV/atom

Cell and atoms, written as POSCAR:
```
NiMoIr2
1.0
1.362 0.786 8.800
-1.362 0.786 8.800
0.000 -1.572 8.800
Ni Mo Ir
1 1 2
Cartesian
0.000 0.000 0.000
0.000 0.000 19.763
0.000 0.000 6.695
0.000 0.000 13.190
```

No. 18
The following is a DFT calculation (PBE) of a relaxed structure of K2SiTe.

ΔE to the lowest computed polymorph: 0.195 eV/atom
E: -2.75 eV/atom

Cell and atoms, written as POSCAR:
```
K2SiTe
1.0
3.320 0.000 0.000
0.000 5.193 0.000
0.000 0.000 7.056
K Si Te
2 1 1
Cartesian
0.000 0.000 1.725
0.000 0.000 5.331
1.660 2.596 0.000
1.660 2.596 3.528
```

No. 19
The following is a DFT calculation (PBE) of a relaxed structure of TaMn2AsBr.

E: -6.38 eV/atom

Cell and atoms, written as POSCAR:
```
TaMn2AsBr
1.0
5.257 0.000 0.000
0.000 5.257 0.000
0.000 0.000 4.857
Ta Mn As Br
1 2 1 1
Cartesian
0.000 0.000 0.000
0.000 2.629 0.000
2.629 0.000 0.000
0.000 0.000 2.428
2.629 2.629 2.428
```

No. 20
The following is a DFT calculation (PBE) of a relaxed structure of Ba2ZrAu.

Formation enthalpy at 0 K: 0.020 eV/atom
ΔE to the lowest computed polymorph: 0.074 eV/atom
E: -3.90 eV/atom

Cell and atoms, written as POSCAR:
```
Ba2ZrAu
1.0
-1.917 2.118 9.656
1.917 -2.118 9.656
1.917 2.118 -9.656
Ba Zr Au
2 1 1
Cartesian
0.000 0.000 2.939
0.000 0.000 16.374
0.000 2.118 0.000
1.917 0.000 0.000
```

No. 21
The following is a DFT calculation (PBE) of a relaxed structure of Tm2NpPaP4.

Formation enthalpy at 0 K: -1.347 eV/atom
E: -7.97 eV/atom

Cell and atoms, written as POSCAR:
```
Tm2NpPaP4
1.0
6.841 0.000 0.000
0.000 3.957 0.000
-2.292 0.000 6.461
Tm Np Pa P
2 1 1 4
Cartesian
0.000 0.000 0.000
3.420 1.978 0.000
-1.146 1.978 3.231
2.274 0.000 3.231
-0.007 0.000 4.843
1.143 1.978 1.608
4.555 0.000 1.618
3.406 1.978 4.853
```

No. 22
The following is a DFT calculation (PBE) of a relaxed structure of GaAsHF2.

E: -3.57 eV/atom

Cell and atoms, written as POSCAR:
```
GaAsHF2
1.0
4.009 0.000 0.000
0.000 4.009 0.000
0.000 0.000 5.432
Ga As H F
1 1 1 2
Cartesian
0.000 0.000 0.000
0.000 0.000 2.716
2.004 2.004 0.000
0.000 2.004 2.716
2.004 0.000 2.716
```

No. 23
The following is a DFT calculation (PBE) of a relaxed structure of Li2SnAu9.

Formation enthalpy at 0 K: -0.240 eV/atom
E: -3.35 eV/atom

Cell and atoms, written as POSCAR:
```
Li2SnAu9
1.0
4.080 0.000 0.000
0.000 4.080 0.000
0.000 0.000 12.881
Li Sn Au
2 1 9
Cartesian
0.000 0.000 2.058
0.000 0.000 10.823
0.000 0.000 6.440
0.000 2.040 0.000
0.000 2.040 4.092
0.000 2.040 8.788
2.040 0.000 0.000
2.040 0.000 4.092
2.040 0.000 8.788
2.040 2.040 2.046
2.040 2.040 6.440
2.040 2.040 10.834
```

No. 24
The following is a DFT calculation (PBE) of a relaxed structure of TbPaAu2.

Formation enthalpy at 0 K: -0.500 eV/atom
ΔE to the lowest computed polymorph: 0.000 eV/atom
E: -5.67 eV/atom

Cell and atoms, written as POSCAR:
```
TbPaAu2
1.0
3.487 0.000 0.000
0.000 3.487 0.000
0.000 0.000 7.718
Tb Pa Au
1 1 2
Cartesian
0.000 0.000 0.000
0.000 0.000 3.859
1.744 1.744 1.869
1.744 1.744 5.849
```

No. 25
The following is a DFT calculation (PBE) of a relaxed structure of AcCeAgHg.

Formation enthalpy at 0 K: -0.251 eV/atom
ΔE to the lowest computed polymorph: 0.000 eV/atom
E: -3.55 eV/atom

Cell and atoms, written as POSCAR:
```
AcCeAgHg
1.0
3.912 0.000 0.000
0.000 3.912 0.000
0.000 0.000 7.731
Ac Ce Ag Hg
1 1 1 1
Cartesian
0.000 0.000 0.000
0.000 0.000 3.760
1.956 1.956 2.034
1.956 1.956 5.581
```

No. 26
The following is a DFT calculation (PBE) of a relaxed structure of CeDyAu.

Formation enthalpy at 0 K: -0.280 eV/atom
ΔE to the lowest computed polymorph: 0.114 eV/atom
E: -4.88 eV/atom

Cell and atoms, written as POSCAR:
```
CeDyAu
1.0
0.000 3.556 3.556
3.556 0.000 3.556
3.556 3.556 0.000
Ce Dy Au
1 1 1
Cartesian
0.000 0.000 0.000
3.556 3.556 3.556
5.333 5.333 5.333
```

No. 27
The following is a DFT calculation (PBE) of a relaxed structure of BaY2.

Formation enthalpy at 0 K: 0.245 eV/atom
ΔE to the lowest computed polymorph: 0.084 eV/atom
E: -4.71 eV/atom

Cell and atoms, written as POSCAR:
```
BaY2
1.0
-1.896 2.600 5.881
1.896 -2.600 5.881
1.896 2.600 -5.881
Ba Y
1 2
Cartesian
0.000 0.000 0.000
0.000 0.000 3.772
0.000 0.000 7.990
```